Computed, not measured: a relaxed Fe2AsW crystal at the PBE level of DFT.

* formation energy: 0.176 eV/atom

Cell lengths 3.1046, 4.1196, 8.1684 Å; angles 90.00, 90.00, 90.00 degrees
Last column: nearest neighbours and their distance in Å.
Space group Imm2 (No. 44)
Inequivalent atoms, fractional coordinates:
Fe: 0.0000 0.0000 0.0000 [2 per cell]  4 As 2.58, 4 Fe 2.59-2.88, 4 W 2.67-2.81
Fe: 0.0000 0.5000 0.2465 [2 per cell]  2 As 2.41, 4 W 2.58, 2 Fe 2.59
As: 0.0000 0.0000 0.5209 [2 per cell]  6 Fe 2.41-2.58, 2 W 2.60
W: 0.0000 0.5000 0.7657 [2 per cell]  8 Fe 2.58-2.81, 4 As 2.60-2.87